Compound: ScCdSeN2
Source: Alexandria
Functional: PBE-GGA
Structure: relaxed Values from VASP.

Quantum ESPRESSO input file:
```
&SYSTEM
  ibrav = 0, nat = 5, ntyp = 4
/
ATOMIC_SPECIES
Sc 44.96 Sc.upf
Cd 112.41 Cd.upf
Se 78.96 Se.upf
N 14.01 N.upf
ATOMIC_POSITIONS angstrom
Sc 0.000 0.000 0.000
Cd 2.085 2.085 2.714
Se 2.085 2.085 0.000
N 0.000 2.085 2.714
N 2.085 0.000 2.714
CELL_PARAMETERS angstrom
4.170 0.000 0.000
0.000 4.170 0.000
0.000 0.000 5.427
```

Output
ΔE_f (raw) ... 5.3 eV/f.u.
Space group ... P4/mmm (123)
ΔE to the lowest computed polymorph ... 60.4 kJ/mol of atoms
Total energy ... -22.06 eV per cell
Magnetization ... 2.2 μB/f.u.